# SrTiCl2 PBE relaxed
data_SrTiCl2
_chemical_formula_sum 'Sr1 Ti1 Cl2'
_symmetry_space_group_name_H-M 'P 1'
_symmetry_Int_Tables_number 1
_symmetry_space_group_name_Hall 'P 1'
_cell_length_a 8.718
_cell_length_b 8.718
_cell_length_c 8.718
_cell_angle_alpha 26.55
_cell_angle_beta 26.55
_cell_angle_gamma 26.55
loop_
_atom_site_label
_atom_site_fract_x
_atom_site_fract_y
_atom_site_fract_z
Sr1 0.000 0.000 0.000
Ti1 0.500 0.500 0.500
Cl1 0.118 0.118 0.118
Cl2 0.882 0.882 0.882
# symmetry: R-3m, No. 166
# M_tot: 0.607 μB/atom
# formation energy from raw total energies: -924 meV per atom
# electronic total energy: -17.0 eV/cell
# offset from the most stable computed form: 0.00 eV per formula unit
# calculated volume: 116.7 Å³/cell



# SrTiTlCl2 PBE relaxed
data_SrTiTlCl2
_chemical_formula_sum 'Sr1 Ti1 Tl1 Cl2'
_symmetry_space_group_name_H-M 'P 1'
_symmetry_Int_Tables_number 1
_symmetry_space_group_name_Hall 'P 1'
_cell_length_a 4.856
_cell_length_b 4.856
_cell_length_c 7.248
_cell_angle_alpha 90.00
_cell_angle_beta 90.00
_cell_angle_gamma 90.00
loop_
_atom_site_label
_atom_site_fract_x
_atom_site_fract_y
_atom_site_fract_z
Sr1 0.000 0.000 0.000
Ti1 0.000 0.000 0.500
Tl1 0.500 0.500 0.000
Cl1 0.000 0.500 0.500
Cl2 0.500 0.000 0.500
# symmetry: P4/mmm, No. 123
# M_tot: 0.410 μB/atom
# formation energy from raw total energies: -539 meV per atom
# electronic total energy: -18.3 eV/cell
# calculated volume: 170.9 Å³/cell



# SrTiV2Cl PBE relaxed
data_SrTiV2Cl
_chemical_formula_sum 'Sr1 Ti1 V2 Cl1'
_symmetry_space_group_name_H-M 'P 1'
_symmetry_Int_Tables_number 1
_symmetry_space_group_name_Hall 'P 1'
_cell_length_a 4.491
_cell_length_b 4.491
_cell_length_c 5.863
_cell_angle_alpha 90.00
_cell_angle_beta 90.00
_cell_angle_gamma 90.00
loop_
_atom_site_label
_atom_site_fract_x
_atom_site_fract_y
_atom_site_fract_z
Sr1 0.000 0.000 0.000
Ti1 0.500 0.500 0.500
V1 0.000 0.500 0.500
V2 0.500 0.000 0.500
Cl1 0.500 0.500 0.000
# symmetry: P4/mmm, No. 123
# M_tot: 0.671 μB/atom
# formation energy from raw total energies: 595 meV per atom
# electronic total energy: -26.7 eV/cell
# calculated volume: 118.2 Å³/cell



# SrTi2VCl PBE relaxed
data_SrTi2VCl
_chemical_formula_sum 'Sr1 Ti2 V1 Cl1'
_symmetry_space_group_name_H-M 'P 1'
_symmetry_Int_Tables_number 1
_symmetry_space_group_name_Hall 'P 1'
_cell_length_a 4.410
_cell_length_b 4.410
_cell_length_c 6.931
_cell_angle_alpha 90.00
_cell_angle_beta 90.00
_cell_angle_gamma 90.00
loop_
_atom_site_label
_atom_site_fract_x
_atom_site_fract_y
_atom_site_fract_z
Sr1 0.000 0.000 0.000
Ti1 0.000 0.500 0.500
Ti2 0.500 0.000 0.500
V1 0.000 0.000 0.500
Cl1 0.500 0.500 0.000
# symmetry: P4/mmm, No. 123
# M_tot: 0.000 μB/atom
# formation energy from raw total energies: 332 meV per atom
# electronic total energy: -26.8 eV/cell
# calculated volume: 134.8 Å³/cell



# SrZrTiCl2 PBE relaxed
data_SrZrTiCl2
_chemical_formula_sum 'Sr1 Zr1 Ti1 Cl2'
_symmetry_space_group_name_H-M 'P 1'
_symmetry_Int_Tables_number 1
_symmetry_space_group_name_Hall 'P 1'
_cell_length_a 4.813
_cell_length_b 4.813
_cell_length_c 7.459
_cell_angle_alpha 90.00
_cell_angle_beta 90.00
_cell_angle_gamma 90.00
loop_
_atom_site_label
_atom_site_fract_x
_atom_site_fract_y
_atom_site_fract_z
Sr1 0.000 0.000 0.000
Zr1 0.500 0.500 0.000
Ti1 0.000 0.000 0.500
Cl1 0.000 0.500 0.500
Cl2 0.500 0.000 0.500
# symmetry: P4/mmm, No. 123
# M_tot: 0.975 μB/atom
# formation energy from raw total energies: 207 meV per atom
# electronic total energy: -20.8 eV/cell
# calculated volume: 172.8 Å³/cell



# Sr3Tl5Cl12 PBE relaxed
data_Sr3Tl5Cl12
_chemical_formula_sum 'Sr12 Tl20 Cl48'
_symmetry_space_group_name_H-M 'P 1'
_symmetry_Int_Tables_number 1
_symmetry_space_group_name_Hall 'P 1'
_cell_length_a 15.318
_cell_length_b 15.318
_cell_length_c 15.318
_cell_angle_alpha 109.47
_cell_angle_beta 109.47
_cell_angle_gamma 109.47
loop_
_atom_site_label
_atom_site_fract_x
_atom_site_fract_y
_atom_site_fract_z
Sr1 0.125 0.250 0.375
Sr2 0.125 0.375 0.750
Sr3 0.250 0.375 0.125
Sr4 0.250 0.875 0.625
Sr5 0.375 0.125 0.250
Sr6 0.375 0.750 0.125
Sr7 0.625 0.250 0.875
Sr8 0.625 0.875 0.750
Sr9 0.750 0.125 0.375
Sr10 0.750 0.625 0.875
Sr11 0.875 0.625 0.250
Sr12 0.875 0.750 0.625
Tl1 0.000 0.000 0.000
Tl2 0.000 0.000 0.500
Tl3 0.000 0.500 0.000
Tl4 0.000 0.500 0.500
Tl5 0.125 0.750 0.875
Tl6 0.125 0.875 0.250
Tl7 0.250 0.125 0.875
Tl8 0.250 0.625 0.375
Tl9 0.375 0.250 0.625
Tl10 0.375 0.625 0.750
Tl11 0.500 0.000 0.000
Tl12 0.500 0.000 0.500
Tl13 0.500 0.500 0.000
Tl14 0.500 0.500 0.500
Tl15 0.625 0.375 0.250
Tl16 0.625 0.750 0.375
Tl17 0.750 0.375 0.625
Tl18 0.750 0.875 0.125
Tl19 0.875 0.125 0.750
Tl20 0.875 0.250 0.125
Cl1 0.065 0.231 0.134
Cl2 0.065 0.334 0.931
Cl3 0.069 0.634 0.403
Cl4 0.069 0.935 0.666
Cl5 0.097 0.731 0.666
Cl6 0.097 0.866 0.431
Cl7 0.134 0.065 0.231
Cl8 0.134 0.569 0.903
Cl9 0.166 0.231 0.597
Cl10 0.166 0.435 0.569
Cl11 0.231 0.134 0.065
Cl12 0.231 0.597 0.166
Cl13 0.269 0.334 0.903
Cl14 0.269 0.435 0.366
Cl15 0.334 0.903 0.269
Cl16 0.334 0.931 0.065
Cl17 0.366 0.269 0.435
Cl18 0.366 0.597 0.931
Cl19 0.403 0.069 0.634
Cl20 0.403 0.834 0.769
Cl21 0.431 0.097 0.866
Cl22 0.431 0.834 0.565
Cl23 0.435 0.366 0.269
Cl24 0.435 0.569 0.166
Cl25 0.565 0.431 0.834
Cl26 0.565 0.634 0.731
Cl27 0.569 0.166 0.435
Cl28 0.569 0.903 0.134
Cl29 0.597 0.166 0.231
Cl30 0.597 0.931 0.366
Cl31 0.634 0.403 0.069
Cl32 0.634 0.731 0.565
Cl33 0.666 0.069 0.935
Cl34 0.666 0.097 0.731
Cl35 0.731 0.565 0.634
Cl36 0.731 0.666 0.097
Cl37 0.769 0.403 0.834
Cl38 0.769 0.866 0.935
Cl39 0.834 0.565 0.431
Cl40 0.834 0.769 0.403
Cl41 0.866 0.431 0.097
Cl42 0.866 0.935 0.769
Cl43 0.903 0.134 0.569
Cl44 0.903 0.269 0.334
Cl45 0.931 0.065 0.334
Cl46 0.931 0.366 0.597
Cl47 0.935 0.666 0.069
Cl48 0.935 0.769 0.866
# symmetry: Ia-3d, No. 230
# M_tot: 0.000 μB/atom
# formation energy from raw total energies: -1502 meV per atom
# electronic total energy: -276.3 eV/cell
# offset from the most stable computed form: 2.11 eV per formula unit
# calculated volume: 2767.1 Å³/cell



# SrTlCl6 PBE relaxed
data_SrTlCl6
_chemical_formula_sum 'Sr1 Tl1 Cl6'
_symmetry_space_group_name_H-M 'P 1'
_symmetry_Int_Tables_number 1
_symmetry_space_group_name_Hall 'P 1'
_cell_length_a 7.778
_cell_length_b 7.778
_cell_length_c 7.778
_cell_angle_alpha 60.00
_cell_angle_beta 60.00
_cell_angle_gamma 60.00
loop_
_atom_site_label
_atom_site_fract_x
_atom_site_fract_y
_atom_site_fract_z
Sr1 0.000 0.000 0.000
Tl1 0.500 0.500 0.500
Cl1 0.263 0.263 0.737
Cl2 0.263 0.737 0.263
Cl3 0.263 0.737 0.737
Cl4 0.737 0.263 0.263
Cl5 0.737 0.263 0.737
Cl6 0.737 0.737 0.263
# symmetry: Fm-3m, No. 225
# M_tot: 0.120 μB/atom
# formation energy from raw total energies: -1037 meV per atom
# electronic total energy: -23.4 eV/cell
# calculated volume: 332.7 Å³/cell



# SrTlCl2 PBE relaxed
data_SrTlCl2
_chemical_formula_sum 'Sr1 Tl1 Cl2'
_symmetry_space_group_name_H-M 'P 1'
_symmetry_Int_Tables_number 1
_symmetry_space_group_name_Hall 'P 1'
_cell_length_a 5.804
_cell_length_b 5.363
_cell_length_c 5.363
_cell_angle_alpha 56.31
_cell_angle_beta 90.00
_cell_angle_gamma 90.00
loop_
_atom_site_label
_atom_site_fract_x
_atom_site_fract_y
_atom_site_fract_z
Sr1 0.000 0.000 0.000
Tl1 0.500 0.354 0.354
Cl1 0.000 0.680 0.680
Cl2 0.500 0.032 0.032
# symmetry: Amm2, No. 38
# M_tot: 0.194 μB/atom
# formation energy from raw total energies: -1443 meV per atom
# electronic total energy: -13.5 eV/cell
# offset from the most stable computed form: 0.69 eV per formula unit
# calculated volume: 138.9 Å³/cell



# SrTlCl2 PBE relaxed
data_SrTlCl2
_chemical_formula_sum 'Sr1 Tl1 Cl2'
_symmetry_space_group_name_H-M 'P 1'
_symmetry_Int_Tables_number 1
_symmetry_space_group_name_Hall 'P 1'
_cell_length_a 4.249
_cell_length_b 4.500
_cell_length_c 6.143
_cell_angle_alpha 90.00
_cell_angle_beta 90.00
_cell_angle_gamma 90.00
loop_
_atom_site_label
_atom_site_fract_x
_atom_site_fract_y
_atom_site_fract_z
Sr1 0.000 0.000 0.000
Tl1 0.500 0.000 0.500
Cl1 0.000 0.500 0.500
Cl2 0.500 0.500 0.000
# symmetry: Pmmm, No. 47
# M_tot: 0.183 μB/atom
# formation energy from raw total energies: -1338 meV per atom
# electronic total energy: -13.1 eV/cell
# offset from the most stable computed form: 1.11 eV per formula unit
# calculated volume: 117.5 Å³/cell



# SrTlCl2 PBE relaxed
data_SrTlCl2
_chemical_formula_sum 'Sr1 Tl1 Cl2'
_symmetry_space_group_name_H-M 'P 1'
_symmetry_Int_Tables_number 1
_symmetry_space_group_name_Hall 'P 1'
_cell_length_a 5.674
_cell_length_b 5.674
_cell_length_c 5.551
_cell_angle_alpha 114.34
_cell_angle_beta 114.34
_cell_angle_gamma 98.57
loop_
_atom_site_label
_atom_site_fract_x
_atom_site_fract_y
_atom_site_fract_z
Sr1 0.000 0.000 0.000
Tl1 0.500 0.500 0.000
Cl1 0.000 0.500 0.500
Cl2 0.500 0.000 0.500
# symmetry: C2/m, No. 12
# M_tot: 0.000 μB/atom
# formation energy from raw total energies: -1347 meV per atom
# electronic total energy: -13.1 eV/cell
# offset from the most stable computed form: 1.07 eV per formula unit
# calculated volume: 137.0 Å³/cell



# SrTlCl2 PBE relaxed
data_SrTlCl2
_chemical_formula_sum 'Sr1 Tl1 Cl2'
_symmetry_space_group_name_H-M 'P 1'
_symmetry_Int_Tables_number 1
_symmetry_space_group_name_Hall 'P 1'
_cell_length_a 9.879
_cell_length_b 9.879
_cell_length_c 4.157
_cell_angle_alpha 102.03
_cell_angle_beta 102.03
_cell_angle_gamma 22.34
loop_
_atom_site_label
_atom_site_fract_x
_atom_site_fract_y
_atom_site_fract_z
Sr1 0.000 0.000 0.000
Tl1 0.271 0.271 0.271
Cl1 0.448 0.448 0.448
Cl2 0.607 0.607 0.105
# symmetry: Cm, No. 8
# M_tot: 0.000 μB/atom
# formation energy from raw total energies: -1495 meV per atom
# electronic total energy: -13.7 eV/cell
# offset from the most stable computed form: 0.48 eV per formula unit
# calculated volume: 150.6 Å³/cell



# SrTlCl4 PBE relaxed
data_SrTlCl4
_chemical_formula_sum 'Sr1 Tl1 Cl4'
_symmetry_space_group_name_H-M 'P 1'
_symmetry_Int_Tables_number 1
_symmetry_space_group_name_Hall 'P 1'
_cell_length_a 6.161
_cell_length_b 6.161
_cell_length_c 6.161
_cell_angle_alpha 60.00
_cell_angle_beta 60.00
_cell_angle_gamma 60.00
loop_
_atom_site_label
_atom_site_fract_x
_atom_site_fract_y
_atom_site_fract_z
Sr1 0.000 0.000 0.000
Tl1 0.750 0.750 0.750
Cl1 0.375 0.375 0.375
Cl2 0.375 0.375 0.876
Cl3 0.375 0.876 0.375
Cl4 0.876 0.375 0.375
# symmetry: F-43m, No. 216
# M_tot: 0.174 μB/atom
# formation energy from raw total energies: -770 meV per atom
# electronic total energy: -16.1 eV/cell
# offset from the most stable computed form: 4.80 eV per formula unit
# calculated volume: 165.3 Å³/cell